The following is a PBE-GGA calculation of Zr2NpF11 after structural relaxation, from the Alexandria database.

a = 7.905 Å, b = 8.510 Å, c = 8.510 Å
α = 73.79°, β = 62.33°, γ = 62.33°
Positions (direct):
F  0.104  0.552  0.710
F  0.467  0.954  0.319
F  0.760  0.454  0.819
F  0.033  0.181  0.546
F  0.396  0.790  0.948
Np  0.250  0.250  0.250
F  0.129  0.219  0.781
F  0.604  0.210  0.052
F  0.967  0.819  0.454
F  0.740  0.681  0.046
F  0.500  0.500  0.500
F  0.240  0.546  0.181
F  0.366  0.290  0.448
F  0.634  0.710  0.552
F  0.896  0.448  0.290
F  0.260  0.319  0.954
Zr  0.134  0.819  0.181
F  0.533  0.046  0.681
Zr  0.634  0.681  0.319
F  0.866  0.948  0.790
F  0.000  0.000  0.000
F  0.134  0.052  0.210
Zr  0.866  0.181  0.819
Np  0.750  0.750  0.750
F  0.629  0.281  0.719
F  0.871  0.781  0.219
F  0.371  0.719  0.281
Zr  0.366  0.319  0.681

Calculated values
For the density, the calculation gives 4.66 g/cm³. For the volume, the calculation gives 447.5 Å³ per cell.

The following is a PBE-GGA calculation of O3F after structural relaxation, from the Alexandria database.

a = 4.938 Å, b = 4.675 Å, c = 6.402 Å
α = 99.57°, β = 106.05°, γ = 118.76°
Positions (direct):
F  0.298  0.328  0.511
O  0.487  0.995  0.214
O  0.058  0.141  0.987
O  0.384  0.722  0.805
O  0.616  0.278  0.195
O  0.513  0.005  0.786
O  0.942  0.859  0.013
F  0.702  0.672  0.489

Calculated values
For the density, the calculation gives 1.91 g/cm³. For the volume, the calculation gives 116.4 Å³ per cell.

The following is a PBE-GGA calculation of O4F after structural relaxation, from the Alexandria database.

a = 4.178 Å, b = 4.178 Å, c = 4.178 Å
α = 90.00°, β = 90.00°, γ = 90.00°
Positions (direct):
F  0.500  0.500  0.500
O  0.500  0.500  0.000
O  0.000  0.500  0.500
O  0.500  0.000  0.500
O  0.000  0.000  0.000

Calculated values
The relative energy among the computed polymorphs comes out at 0.3708 eV per atom. For the density, the calculation gives 1.89 g/cm³. For the volume, the calculation gives 72.9 Å³ per cell.

The following is a PBE-GGA calculation of O4F after structural relaxation, from the Alexandria database.

a = 2.654 Å, b = 4.317 Å, c = 6.086 Å
α = 112.00°, β = 90.00°, γ = 90.00°
Positions (direct):
O  0.000  0.728  0.361
O  0.000  0.272  0.639
O  0.500  0.892  0.701
F  0.500  0.000  0.000
O  0.500  0.108  0.299

Calculated values
The relative energy among the computed polymorphs comes out at 0.0000 eV per atom. For the density, the calculation gives 2.13 g/cm³. For the volume, the calculation gives 64.7 Å³ per cell.

The following is a PBE-GGA calculation of O2F3 after structural relaxation, from the Alexandria database.

a = 3.844 Å, b = 5.228 Å, c = 8.648 Å
α = 85.31°, β = 77.16°, γ = 68.43°
Positions (direct):
F  0.790  0.606  0.801
F  0.341  0.106  0.699
O  0.703  0.635  0.964
O  0.417  0.135  0.536
O  0.088  0.865  0.464
F  0.146  0.894  0.301
F  0.197  0.394  0.199
F  0.257  0.500  0.500
F  0.507  0.000  0.000
O  0.302  0.365  0.036

Calculated values
For the density, the calculation gives 1.88 g/cm³. For the volume, the calculation gives 157.6 Å³ per cell.

The following is a PBE-GGA calculation of OF6 after structural relaxation, from the Alexandria database.

a = 5.266 Å, b = 8.475 Å, c = 9.131 Å
α = 90.00°, β = 90.00°, γ = 90.00°
Positions (direct):
F  0.777  0.585  0.446
F  0.149  0.549  0.154
F  0.223  0.085  0.554
F  0.851  0.049  0.846
F  0.649  0.049  0.346
F  0.723  0.915  0.946
F  0.331  0.750  0.368
F  0.132  0.250  0.437
F  0.368  0.250  0.937
F  0.351  0.549  0.654
O  0.138  0.750  0.274
F  0.223  0.415  0.554
F  0.351  0.951  0.654
F  0.777  0.915  0.446
F  0.831  0.250  0.132
F  0.723  0.585  0.946
F  0.149  0.951  0.154
F  0.632  0.750  0.063
F  0.851  0.451  0.846
F  0.277  0.415  0.054
F  0.277  0.085  0.054
O  0.638  0.250  0.226
F  0.868  0.750  0.563
F  0.169  0.750  0.868
O  0.362  0.750  0.774
F  0.669  0.250  0.632
O  0.862  0.250  0.726
F  0.649  0.451  0.346

Calculated values
For the density, the calculation gives 2.12 g/cm³. For the volume, the calculation gives 407.6 Å³ per cell.

The following is a PBE-GGA calculation of OF4 after structural relaxation, from the Alexandria database.

a = 3.695 Å, b = 3.695 Å, c = 3.695 Å
α = 90.00°, β = 90.00°, γ = 90.00°
Positions (direct):
F  0.500  0.000  0.500
O  0.500  0.500  0.500
F  0.000  0.500  0.500
F  0.000  0.000  0.000
F  0.500  0.500  0.000

Calculated values
The relative energy among the computed polymorphs comes out at 0.4820 eV per atom. For the density, the calculation gives 3.03 g/cm³. For the volume, the calculation gives 50.4 Å³ per cell.

The following is a PBE-GGA calculation of O8F after structural relaxation, from the Alexandria database.

a = 5.861 Å, b = 6.012 Å, c = 6.012 Å
α = 76.26°, β = 60.83°, γ = 60.83°
Positions (direct):
O  0.598  0.000  0.805
O  0.402  0.000  0.195
O  0.416  0.584  0.584
F  0.000  0.000  0.000
O  0.000  0.584  0.416
O  0.598  0.805  0.000
O  0.402  0.195  0.000
O  0.584  0.416  0.416
O  0.000  0.416  0.584

Calculated values
For the density, the calculation gives 1.51 g/cm³. For the volume, the calculation gives 161.5 Å³ per cell.

The following is a PBE-GGA calculation of OF4 after structural relaxation, from the Alexandria database.

a = 4.406 Å, b = 4.780 Å, c = 7.797 Å
α = 80.62°, β = 73.59°, γ = 62.55°
Positions (direct):
F  0.508  0.961  0.809
F  0.492  0.039  0.191
O  0.818  0.750  0.250
F  0.106  0.150  0.580
F  0.894  0.850  0.420
F  0.279  0.539  0.691
F  0.836  0.350  0.920
F  0.721  0.461  0.309
O  0.182  0.250  0.750
F  0.164  0.650  0.080

Calculated values
The relative energy among the computed polymorphs comes out at 0.0000 eV per atom. For the density, the calculation gives 2.19 g/cm³. For the volume, the calculation gives 139.7 Å³ per cell.

The following is a PBE-GGA calculation of OsO3F2 after structural relaxation, from the Alexandria database.

a = 5.211 Å, b = 5.758 Å, c = 12.735 Å
α = 80.64°, β = 90.00°, γ = 90.00°
Positions (direct):
O  0.597  0.749  0.468
Os  0.210  0.192  0.642
O  0.097  0.251  0.032
O  0.673  0.621  0.278
O  0.327  0.379  0.722
O  0.173  0.379  0.222
Os  0.710  0.808  0.858
F  0.378  0.884  0.116
F  0.523  0.964  0.715
O  0.927  0.324  0.597
F  0.977  0.964  0.215
Os  0.290  0.192  0.142
F  0.122  0.884  0.616
O  0.073  0.676  0.403
O  0.573  0.324  0.097
F  0.477  0.036  0.285
O  0.827  0.621  0.778
F  0.023  0.036  0.785
O  0.427  0.676  0.903
Os  0.790  0.808  0.358
F  0.622  0.116  0.884
O  0.403  0.251  0.532
F  0.878  0.116  0.384
O  0.903  0.749  0.968

Calculated values
The relative energy among the computed polymorphs comes out at 0.0000 eV per atom. For the density, the calculation gives 4.87 g/cm³. For the volume, the calculation gives 377.0 Å³ per cell.

The following is a PBE-GGA calculation of Os2OF8 after structural relaxation, from the Alexandria database.

a = 5.509 Å, b = 6.287 Å, c = 5.509 Å
α = 90.59°, β = 74.81°, γ = 89.41°
Positions (direct):
F  0.321  0.285  0.112
F  0.888  0.285  0.679
F  0.112  0.715  0.321
F  0.830  0.422  0.170
F  0.679  0.715  0.888
Os  0.102  0.261  0.898
F  0.629  0.823  0.371
O  0.000  0.000  0.000
F  0.170  0.578  0.830
F  0.371  0.177  0.629
Os  0.898  0.739  0.102

Calculated values
For the density, the calculation gives 4.95 g/cm³. For the volume, the calculation gives 184.1 Å³ per cell.

The following is a PBE-GGA calculation of Os2OF after structural relaxation, from the Alexandria database.

a = 3.818 Å, b = 3.818 Å, c = 7.624 Å
α = 75.50°, β = 75.50°, γ = 90.00°
Positions (direct):
Os  0.191  0.625  0.250
O  0.250  0.750  0.500
F  0.750  0.250  0.500
Os  0.559  0.125  0.250
O  0.500  0.500  0.000
Os  0.375  0.441  0.750
F  0.000  0.000  0.000
Os  0.875  0.809  0.750

Calculated values
The relative energy among the computed polymorphs comes out at 0.0000 eV per atom. For the density, the calculation gives 13.28 g/cm³. For the volume, the calculation gives 103.9 Å³ per cell.

Calculated total energy for every record listed, in sequence, given in eV/cell: -202.65 -32.75 -11.22 -13.08 -28.32 -59.60 -8.92 -36.93 -22.66 -148.72 -60.10 -55.93.
Uncorrected formation energy for every record listed, in sequence, given in eV/atom: -3.622 0.092 2.096 1.725 0.274 0.184 0.704 0.512 0.222 -1.222 -1.610 0.331.